1.
Below is a geometry-optimized Al2Cu5Pt structure, with properties calculated at the PBE-GGA level.

The structure belongs to space group Pbam (No. 55); the cell edges are 5.234, 10.520 and 3.778 Å and the angles 90.00°, 90.00° and 90.00°. The inequivalent atoms are Al at (0.235, 0.122, 0.000), Cu at (0.000, 0.500, 0.500), Cu at (0.016, 0.745, 0.500), Cu at (0.232, 0.367, 0.000) and Pt at (0.000, 0.000, 0.500).

Its density of states at the Fermi level is 2.826 states/eV/f.u. Its energy is -0.168 hartree per atom. The value obtained for the energy relative to the elements is -0.334 eV per atom.


2.
Below is a geometry-optimized CdSn5Te6 structure, with properties calculated at the PBE-GGA level.

The structure belongs to space group C2/m (No. 12); the cell edges are 7.773, 13.476 and 7.788 Å and the angles 90.00°, 109.46° and 90.00°. The inequivalent atoms are Cd at (0.000, 0.000, 0.000), Sn at (0.000, 0.168, 0.500), Sn at (0.000, 0.334, 0.000), Sn at (0.000, 0.500, 0.500), Te at (0.244, 0.000, 0.754) and Te at (0.245, 0.163, 0.246).

The calculation puts the formation energy from raw total energies at -0.285 eV per atom. Its density of states at the Fermi level is 0.607 states/eV/f.u. Its energy is -0.132 hartree per atom.


3.
Below is a geometry-optimized LiTcAu2 structure, with properties calculated at the PBE-GGA level.

The structure belongs to space group F-43m (No. 216); the cell edges are 6.379, 6.379 and 6.379 Å and the angles 90.00°, 90.00° and 90.00°. The inequivalent atoms are Li at (0.000, 0.000, 0.000), Tc at (0.250, 0.250, 0.750), Au at (0.000, 0.000, 0.500) and Au at (0.250, 0.250, 0.250).

The distance to the lowest polymorph of the same formula comes out at 302 meV per atom. Its density of states at the Fermi level is 1.550 states/eV/f.u. Its energy is -0.164 hartree per atom. The value obtained for the energy relative to the elements is 0.253 eV per atom.


4.
Below is a geometry-optimized La7Sm3Ho structure, with properties calculated at the PBE-GGA level.

The structure belongs to space group C2/m (No. 12); the cell edges are 11.808, 10.361 and 6.583 Å and the angles 90.00°, 95.47° and 90.00°. The inequivalent atoms are La at (0.000, 0.000, 0.000), La at (0.239, 0.500, 0.213), La at (0.250, 0.179, 0.266), Sm at (0.000, 0.331, 0.000), Sm at (0.000, 0.500, 0.500) and Ho at (0.000, 0.000, 0.500).

The distance to the lowest polymorph of the same formula comes out at 13 meV per atom. Its density of states at the Fermi level is 17.448 states/eV/f.u. Its energy is -0.170 hartree per atom. The value obtained for the energy relative to the elements is 0.223 eV per atom.


5.
Below is a geometry-optimized GaH2I structure, with properties calculated at the PBE-GGA level.

The structure belongs to space group P2_1/m (No. 11); the cell edges are 6.459, 4.075 and 7.360 Å and the angles 90.00°, 91.85° and 90.00°. The inequivalent atoms are Ga at (0.110, 0.250, 0.330), H at (0.076, 0.750, 0.808), H at (0.132, 0.250, 0.542) and I at (0.364, 0.750, 0.232).

The distance to the lowest polymorph of the same formula comes out at 0 meV per atom. Its density of states at the Fermi level is 0.000 states/eV/f.u. Its energy is -0.107 hartree per atom.


6.
Below is a geometry-optimized Ho8Si3Te4Pt structure, with properties calculated at the PBE-GGA level.

The structure belongs to space group R-3m (No. 166, hexagonal axes); the cell edges are 8.3850, 8.3850 and 21.2201 Å and the angles 90.00°, 90.00° and 120.00°. The inequivalent atoms are Ho at (0.0000, 0.0000, 0.2398), Ho at (0.0020, 0.5010, 0.7611), Si at (0.0000, 0.5000, 0.5000), Te at (0.0000, 0.0000, 0.0000), Te at (0.0000, 0.5000, 0.0000) and Pt at (0.0000, 0.0000, 0.5000).

The calculation puts the formation energy from raw total energies at -1.108 eV per atom. Its density of states at the Fermi level is 6.053 states/eV/f.u. Its energy is -0.205 hartree per atom.